# NbFeO3

A geometry-optimized NbFeO3 structure (PBE with a Hubbard U, Alexandria).

a b c (Å): 3.9664 3.9664 3.9664
angles (deg): 90.00 90.00 90.00
Last column: nearest neighbours and their distance in Å.
Space group Pm-3m (No. 221)
Unique sites:
1 Nb 0.0000 0.0000 0.0000 (multiplicity 1)  6 O 1.98
2 Fe 0.5000 0.5000 0.5000 (multiplicity 1)  12 O 2.80
3 O 0.0000 0.0000 0.5000 (multiplicity 3)  2 Nb 1.98

The raw total energy comes out at -7.6970 eV per atom. As for the volume: 62.4 Å³ per cell. For the density of states at the Fermi level, the calculation gives 5.36 states/eV/f.u.